# Ac2CrOsO8 GGA+U optimized geometry
data_Ac2CrOsO8
_chemical_formula_sum 'Ac2 Cr1 Os1 O8'
_cell_length_a 5.172
_cell_length_b 6.072
_cell_length_c 6.370
_cell_angle_alpha 77.32
_cell_angle_beta 69.57
_cell_angle_gamma 75.96
_space_group_name_H-M_alt 'P -1'
_space_group_IT_number 2
loop_
_space_group_symop_operation_xyz
'x,y,z'
'-x,-y,-z'
loop_
_atom_site_label
_atom_site_type_symbol
_atom_site_fract_x
_atom_site_fract_y
_atom_site_fract_z
Ac1 Ac 0.128 0.175 0.151
Cr1 Cr 0.500 0.000 0.500
Os1 Os 0.500 0.500 0.500
O1 O 0.266 0.804 0.448
O2 O 0.269 0.473 0.801
O3 O 0.288 0.323 0.433
O4 O 0.307 0.960 0.837
# * magnetic moment: 3.906 μB per formula unit
# * V: 14.99 A^3/atom
# * E_tot: -92.74 eV per cell
# * ρ: 7.6 g/cm³